Below is crystalline CePmRuPt at its relaxed geometry, with properties calculated at the GGA-PBE level.

## Properties
Energy above the most stable polymorph in this dataset   0.000 eV/atom
N(E_F)   6.73 states/eV per cell
Total magnetic moment   0.000 Bohr magnetons per cell
Energy of formation from the pure elements   -0.726 eV per atom

Cell lengths 4.066, 3.886, 11.500 Å; angles 90.00, 90.00, 90.00 degrees
Space group Amm2 (No. 38)
Inequivalent atoms, fractional coordinates:
Ce 0.000 0.000 0.000 [2 per cell]
Pm 0.500 0.000 0.280 [2 per cell]
Ru 0.500 0.000 0.536 [2 per cell]
Pt 0.000 0.000 0.717 [2 per cell]

Below is crystalline CePmRuPt at its relaxed geometry, with properties calculated at the GGA-PBE level.

## Properties
Energy above the most stable polymorph in this dataset   0.117 eV/atom
N(E_F)   17.83 states/eV per cell
Total magnetic moment   1.540 Bohr magnetons per cell
Energy of formation from the pure elements   -0.608 eV per atom

Cell lengths 7.049, 7.049, 7.049 Å; angles 90.00, 90.00, 90.00 degrees
Space group F-43m (No. 216)
Inequivalent atoms, fractional coordinates:
Ce 0.000 0.000 0.000 [4 per cell]
Pm 0.000 0.000 0.500 [4 per cell]
Ru 0.250 0.250 0.250 [4 per cell]
Pt 0.250 0.250 0.750 [4 per cell]

Below is crystalline CePmSbPt at its relaxed geometry, with properties calculated at the GGA-PBE level.

## Properties
N(E_F)   39.08 states/eV per cell
Total magnetic moment   7.415 Bohr magnetons per cell
Formation energy from raw total energies   -832 meV/atom

Cell lengths 7.466, 7.466, 7.466 Å; angles 90.00, 90.00, 90.00 degrees
Space group F-43m (No. 216)
Inequivalent atoms, fractional coordinates:
Ce 0.000 0.000 0.000 [4 per cell]
Pm 0.000 0.000 0.500 [4 per cell]
Sb 0.250 0.250 0.250 [4 per cell]
Pt 0.250 0.250 0.750 [4 per cell]

Q: Which value of total magnetic moment does entry 2 give?
A: 1.540 Bohr magnetons per cell